TmHf2Nb: relaxed, GGA-PBE.

Computed properties:
SG: R-3m
Excess energy over the best structure of this formula in the dataset in eV/atom: 0.234
Formation energy from the elements in kcal/mol of atoms: 7.86

Cell lengths 11.021, 11.021, 11.021 Å; angles 16.52, 16.52, 16.52 degrees
Fractional positions:
Tm: 0.000 0.000 0.000
Hf: 0.095 0.095 0.095
Hf: 0.905 0.905 0.905
Nb: 0.500 0.500 0.500